Entry 1:
A plane-wave DFT calculation with PBE was carried out for a geometry-optimized LaGaI structure.

```
LaGaI
1.0
4.3836 0.0000 0.0000
2.1918 3.7964 0.0134
2.1918 1.2012 12.6373
La Ga I
2 2 2
direct
0.4429 0.4443 0.6699
0.5571 0.5557 0.3301
0.8421 0.8420 0.4738
0.1579 0.1580 0.5262
0.7204 0.7230 0.8362
0.2796 0.2770 0.1638
```

Calculated values
- SG: C2/m
- Formation energy (no corrections): -1135 meV per atom

=====

Entry 2:
A plane-wave DFT calculation with PBE was carried out for a geometry-optimized LaGa2I2 structure.

```
LaGa2I2
1.0
8.6582 0.0000 0.0000
0.0000 8.6582 0.0000
0.0000 0.0000 4.3776
I Ga La
4 4 2
direct
0.3498 0.8498 0.0000
0.8498 0.6502 0.0000
0.6502 0.1502 0.0000
0.1502 0.3498 0.0000
0.1820 0.6820 0.5000
0.6820 0.8180 0.5000
0.8180 0.3180 0.5000
0.3180 0.1820 0.5000
0.0000 0.0000 0.0000
0.5000 0.5000 0.0000
```

Calculated values
- SG: P4/mbm
- Offset from the most stable computed form: 293 meV/atom
- Formation energy (no corrections): -345 meV per atom

=====

Entry 3:
A plane-wave DFT calculation with PBE was carried out for a geometry-optimized La2GaI2 structure.

```
La2GaI2
1.0
-5.4051 -5.6179 -5.8938
-4.9824 -3.3132 7.7273
-2.7188 3.0728 -0.4355
I Ga La
4 2 4
direct
0.3666 0.8666 0.0000
0.8666 0.6334 0.0000
0.6334 0.1334 0.0000
0.1334 0.3666 0.0000
0.0000 0.0000 0.0000
0.5000 0.5000 0.0000
0.1650 0.6650 0.5000
0.6650 0.8350 0.5000
0.8350 0.3350 0.5000
0.3350 0.1650 0.5000
```

Calculated values
- SG: P4/mbm
- Offset from the most stable computed form: 96 meV/atom
- Formation energy (no corrections): -455 meV per atom

=====

Entry 4:
A plane-wave DFT calculation with PBE was carried out for a geometry-optimized La5Ga2I structure.

```
La5Ga2I
1.0
7.8362 0.0000 -3.6991
-1.7462 7.6391 -3.6991
-0.5351 -0.6712 9.0161
La Ga I
10 4 2
direct
0.5076 0.7119 0.7196
0.7881 0.9924 0.2804
0.0000 0.0000 0.0000
0.5000 0.5000 0.0000
0.2119 0.0076 0.7196
0.7119 0.2119 0.7196
0.0076 0.5076 0.7196
0.2881 0.7881 0.2804
0.9924 0.4924 0.2804
0.4924 0.2881 0.2804
0.1529 0.3471 0.0000
0.6529 0.1529 0.0000
0.3471 0.8471 0.0000
0.8471 0.6529 0.0000
0.7500 0.7500 0.5000
0.2500 0.2500 0.5000
```

Calculated values
- SG: I4/mcm
- Formation energy (no corrections): -537 meV per atom

=====

Entry 5:
A plane-wave DFT calculation with PBE was carried out for a geometry-optimized La4GaI5 structure.

```
La4GaI5
1.0
-2.1749 -2.6757 2.8342
-5.6538 -2.6255 -6.8173
8.4535 -5.3525 -2.0807
La Ga I
4 1 5
direct
0.3478 0.9244 0.6957
0.0003 0.7780 0.0006
0.6522 0.0756 0.3043
0.9997 0.2220 0.9994
0.5000 0.0000 0.0000
0.8326 0.6626 0.6653
0.8284 0.1761 0.6569
0.1716 0.8239 0.3431
0.5000 0.5000 0.0000
0.1674 0.3374 0.3347
```

Calculated values
- SG: C2/m
- Formation energy (no corrections): -1231 meV per atom

=====

Entry 6:
A plane-wave DFT calculation with PBE was carried out for a geometry-optimized La2GaI structure.

```
La2GaI
1.0
7.8279 0.1263 0.0000
-2.7958 7.4967 0.0000
-2.5161 -3.8115 8.9660
La Ga I
8 4 4
direct
0.5819 0.8536 0.1268
0.0448 0.2732 0.1268
0.4181 0.1464 0.8732
0.9552 0.7268 0.8732
0.3026 0.5721 0.6236
0.1790 0.9485 0.3764
0.6974 0.4279 0.3764
0.8210 0.0515 0.6236
0.3199 0.0699 0.1399
0.6801 0.9301 0.8601
0.0554 0.8054 0.6109
0.9446 0.1946 0.3891
0.4312 0.6812 0.3625
0.1932 0.4432 0.8864
0.5688 0.3188 0.6375
0.8068 0.5568 0.1136
```

Calculated values
- SG: C2/c
- Offset from the most stable computed form: 0 meV/atom
- Formation energy (no corrections): -829 meV per atom

=====

Entry 7:
A plane-wave DFT calculation with PBE was carried out for a geometry-optimized La4GaI3 structure.

```
La4GaI3
1.0
-3.0984 1.4975 -3.0118
-5.7417 -0.9323 5.4432
3.0002 7.3577 0.5719
La Ga I
4 1 3
direct
0.0000 0.2154 0.2154
0.5000 0.7693 0.2307
0.0000 0.7846 0.7846
0.5000 0.2307 0.7693
0.5000 0.0000 0.0000
0.0000 0.0000 0.5000
0.5000 0.5000 0.5000
0.0000 0.5000 0.0000
```

Calculated values
- SG: Cmmm
- Offset from the most stable computed form: 0 meV/atom
- Formation energy (no corrections): -935 meV per atom

=====

Entry 8:
A plane-wave DFT calculation with PBE was carried out for a geometry-optimized La2GaI structure.

```
La2GaI
1.0
-3.3887 -0.1449 1.5252
-1.3818 -1.3096 -3.1946
1.5232 -8.0073 2.6236
I Ga La
1 1 2
direct
0.5000 0.5000 0.5000
0.5000 0.5000 0.0000
0.0000 0.0000 0.7749
0.0000 0.0000 0.2251
```

Calculated values
- SG: P4/mmm
- Offset from the most stable computed form: 53 meV/atom
- Formation energy (no corrections): -777 meV per atom

=====

Entry 9:
A plane-wave DFT calculation with PBE was carried out for a geometry-optimized La2GaI structure.

```
La2GaI
1.0
-1.0576 -6.1022 2.8490
0.9830 -2.9930 -6.0455
7.4209 -5.1376 -0.0934
I Ga La
2 2 4
direct
0.0000 0.0000 0.0000
0.7500 0.2500 0.5000
0.5000 0.5000 0.0000
0.2500 0.7500 0.5000
0.5789 0.1250 0.2500
0.1711 0.6250 0.2500
0.3750 0.4211 0.7500
0.8750 0.8289 0.7500
```

Calculated values
- SG: I-42d
- Offset from the most stable computed form: 507 meV/atom
- Formation energy (no corrections): -322 meV per atom

=====

Entry 10:
A plane-wave DFT calculation with PBE was carried out for a geometry-optimized La2GaI structure.

```
La2GaI
1.0
-2.1946 1.7082 -3.5660
-3.2182 -2.4275 -2.0497
-7.0113 2.7489 2.7642
I Ga La
1 1 2
direct
0.5000 0.5000 0.5000
0.0000 0.0000 0.0000
0.2614 0.2614 0.2159
0.7386 0.7386 0.7841
```

Calculated values
- SG: R-3m
- Offset from the most stable computed form: 10 meV/atom
- Formation energy (no corrections): -819 meV per atom

=====

Entry 11:
A plane-wave DFT calculation with PBE was carried out for a geometry-optimized LaGaI structure.

```
LaGaI
1.0
4.2451 1.1439 0.2417
1.1233 4.2506 0.2417
-2.6631 -2.6761 12.9757
Ga I La
2 2 2
direct
0.8500 0.8500 0.5431
0.1500 0.1500 0.4569
0.6342 0.6342 0.8472
0.3658 0.3658 0.1528
0.2393 0.2393 0.6878
0.7607 0.7607 0.3123
```

Calculated values
- SG: C2/m
- Formation energy (no corrections): -910 meV per atom

=====

Entry 12:
A plane-wave DFT calculation with PBE was carried out for a geometry-optimized La3GaI2 structure.

```
La3GaI2
1.0
7.9088 0.0000 -0.0856
3.9544 6.8302 -0.0428
2.6931 0.0000 7.5475
La Ga I
6 2 4
direct
0.4300 0.6455 0.7785
0.2870 0.0000 0.2125
0.5700 0.3545 0.2215
0.9245 0.6455 0.2215
0.0755 0.3545 0.7785
0.7130 0.0000 0.7875
0.6687 0.6625 0.0000
0.3313 0.3375 0.0000
0.0000 0.0000 0.0000
0.5000 0.0000 0.5000
0.1585 0.6829 0.5000
0.8415 0.3171 0.5000
```

Calculated values
- SG: C2/m
- Formation energy (no corrections): -920 meV per atom

=====

Entry 13:
A plane-wave DFT calculation with PBE was carried out for a geometry-optimized La2GaI structure.

```
La2GaI
1.0
-0.7978 -1.5637 -4.1167
-0.4498 -2.6959 3.5438
-15.0829 4.2410 1.3120
La Ga I
4 2 2
direct
0.3333 0.6667 0.3950
0.6667 0.3333 0.8950
0.6667 0.3333 0.6050
0.3333 0.6667 0.1050
0.0000 0.0000 0.5000
0.0000 0.0000 0.0000
0.6667 0.3333 0.2500
0.3333 0.6667 0.7500
```

Calculated values
- SG: P6_3/mmc
- Offset from the most stable computed form: 22 meV/atom
- Formation energy (no corrections): -807 meV per atom

=====

Entry 14:
A plane-wave DFT calculation with PBE was carried out for a geometry-optimized La3Ga2I2 structure.

```
La3Ga2I2
1.0
4.2452 -0.0045 0.0007
-2.1182 5.7075 -0.6682
0.0006 -1.6816 9.7305
La Ga I
3 2 2
direct
0.0000 0.0000 0.0000
0.7969 0.5942 0.2765
0.2031 0.4058 0.7235
0.6886 0.3773 0.9445
0.3114 0.6227 0.0555
0.9008 0.8007 0.6432
0.0992 0.1993 0.3568
```

Calculated values
- SG: C2/m
- Formation energy (no corrections): -904 meV per atom

=====

Entry 15:
A plane-wave DFT calculation with PBE was carried out for a geometry-optimized La4Ga2I3 structure.

```
La4Ga2I3
1.0
4.4134 0.0005 0.0047
-2.2063 3.8224 -0.0047
-0.0028 0.0016 19.7458
La Ga I
4 2 3
direct
0.3337 0.6663 0.8869
0.9991 0.0009 0.2940
0.0009 0.9991 0.7060
0.6663 0.3337 0.1131
0.6673 0.3327 0.7993
0.3327 0.6673 0.2007
0.6655 0.3345 0.3985
0.0000 0.0000 0.0000
0.3345 0.6655 0.6015
```

Calculated values
- SG: C2/m
- Formation energy (no corrections): -947 meV per atom

=====

Entry 16:
A plane-wave DFT calculation with PBE was carried out for a geometry-optimized LaGaMoI2 structure.

```
LaGaMoI2
1.0
-1.5505 -4.4702 -2.7566
1.0469 -2.7798 3.9190
-5.1208 0.6489 1.8282
I Mo Ga La
2 1 1 1
direct
0.0000 0.0000 0.5000
0.5000 0.0000 0.0000
0.0000 0.5000 0.0000
0.0000 0.0000 0.0000
0.5000 0.5000 0.5000
```

Calculated values
- SG: P4/mmm
- Formation energy (no corrections): 623 meV per atom

=====

Entry 17:
A plane-wave DFT calculation with PBE was carried out for a geometry-optimized LaGaI2N structure.

```
LaGaI2N
1.0
6.5424 0.0000 0.0000
0.0000 6.5424 0.0000
0.0000 0.0000 4.1979
I N Ga La
2 1 1 1
direct
0.0000 0.5000 0.0000
0.5000 0.0000 0.0000
0.0000 0.0000 0.5000
0.5000 0.5000 0.5000
0.0000 0.0000 0.0000
```

Calculated values
- SG: P4/mmm
- Offset from the most stable computed form: 0 meV/atom
- Formation energy (no corrections): -432 meV per atom

=====

Entry 18:
A plane-wave DFT calculation with PBE was carried out for a geometry-optimized LaGaI2N structure.

```
LaGaI2N
1.0
6.0324 0.0000 0.0000
0.0000 6.0324 0.0000
0.0000 0.0000 3.6195
I N Ga La
2 1 1 1
direct
0.0000 0.5000 0.0000
0.5000 0.0000 0.0000
0.0000 0.0000 0.5000
0.0000 0.0000 0.0000
0.5000 0.5000 0.5000
```

Calculated values
- SG: P4/mmm
- Offset from the most stable computed form: 238 meV/atom
- Formation energy (no corrections): -195 meV per atom

=====

Entry 19:
A plane-wave DFT calculation with PBE was carried out for a geometry-optimized LaNdGaI structure.

```
LaNdGaI
1.0
4.0230 0.3264 -0.1162
-1.6863 3.6727 0.1197
-2.3385 -1.3195 8.3593
La Nd Ga I
1 1 1 1
direct
0.0956 0.9700 0.0808
0.5222 0.1148 0.6530
0.3082 0.5413 0.8652
0.9518 0.4047 0.3708
```

Calculated values
- SG: Cm
- Formation energy (no corrections): -766 meV per atom

=====

Entry 20:
A plane-wave DFT calculation with PBE was carried out for a geometry-optimized La6GaNi2I3 structure.

```
La6GaNi2I3
1.0
7.3668 0.1793 0.0251
-3.5263 6.4705 0.0251
-1.2543 -2.1719 7.9839
La Ga Ni I
6 1 2 3
direct
0.9423 0.5856 0.7996
0.7055 0.7055 0.1862
0.0577 0.4144 0.2004
0.5856 0.9423 0.7996
0.2945 0.2945 0.8138
0.4144 0.0577 0.2004
0.0000 0.0000 0.0000
0.3318 0.6682 0.0000
0.6682 0.3318 0.0000
0.1582 0.8418 0.5000
0.8418 0.1582 0.5000
0.5000 0.5000 0.5000
```

Calculated values
- SG: C2/m
- Formation energy (no corrections): -726 meV per atom

=====

Entry 21:
A plane-wave DFT calculation with PBE was carried out for a geometry-optimized La8Ga3NiI4 structure.

```
La8Ga3NiI4
1.0
-6.0487 3.1206 -5.4233
0.9069 -7.6765 -5.4285
-2.0115 -0.9293 8.6913
La Ga Ni I
8 3 1 4
direct
0.2212 0.6950 0.9739
0.2388 0.7164 0.4777
0.2611 0.2803 0.5223
0.7527 0.6950 0.9739
0.2473 0.3050 0.0261
0.7389 0.7197 0.4777
0.7612 0.2836 0.5223
0.7788 0.3050 0.0261
0.5000 0.5000 0.0000
0.5000 0.5000 0.5000
0.0000 0.5000 0.5000
0.0000 0.5000 0.0000
0.5000 0.0000 0.0000
0.5000 0.0000 0.5000
0.0000 0.0000 0.0000
0.0000 0.0000 0.5000
```

Calculated values
- SG: C2/m
- Formation energy (no corrections): -774 meV per atom

=====

Entry 22:
A plane-wave DFT calculation with PBE was carried out for a geometry-optimized La8GaNi3I4 structure.

```
La8GaNi3I4
1.0
-0.4255 -2.7135 7.9284
1.6730 -8.9140 -2.9610
5.8297 6.1406 -2.0255
La Ga Ni I
8 1 3 4
direct
0.2487 0.6929 0.9672
0.2378 0.6889 0.4756
0.2613 0.3112 0.5226
0.7185 0.6929 0.9672
0.2815 0.3071 0.0328
0.7387 0.6888 0.4774
0.7622 0.3111 0.5244
0.7513 0.3071 0.0328
0.0000 0.5000 0.0000
0.5000 0.5000 0.0000
0.5000 0.5000 0.5000
0.0000 0.5000 0.5000
0.5000 0.0000 0.0000
0.5000 0.0000 0.5000
0.0000 0.0000 0.0000
0.0000 0.0000 0.5000
```

Calculated values
- SG: C2/m
- Formation energy (no corrections): -718 meV per atom

=====

Entry 23:
A plane-wave DFT calculation with PBE was carried out for a geometry-optimized LaGa2NiI structure.

```
LaGa2NiI
1.0
4.6491 0.0000 0.0000
0.0000 4.6491 0.0000
0.0000 0.0000 5.6215
I Ni Ga La
1 1 2 1
direct
0.5000 0.5000 0.5000
0.0000 0.0000 0.0000
0.0000 0.5000 0.0000
0.5000 0.0000 0.0000
0.0000 0.0000 0.5000
```

Calculated values
- SG: P4/mmm
- Formation energy (no corrections): -546 meV per atom

=====

Let's list total DFT energy (no corrections) in order: -4.30; -3.16; -3.65; -4.57; -4.28; -4.44; -4.36; -4.38; -3.93; -4.43; -4.08; -4.40; -4.42; -4.32; -4.33; -3.75; -4.31; -4.07; -4.33; -4.79; -4.55; -4.84; -4.21 eV per atom.